Entry 1:
Here is a geometry-optimized PmSm4Dy2Er structure from Alexandria via LeMat-Bulk. Energies are from PBE.

It has space group P2/m (No. 10), with a = 6.2177 Å, b = 3.5998 Å, c = 11.9050 Å, α = 90.00°, β = 100.16° and γ = 90.00°. The inequivalent atoms are Pm at (0.0000, 0.0000, 0.0000), Sm at (0.2500, 0.0000, 0.7482), Sm at (0.2504, 0.5000, 0.2522), Dy at (0.5000, 0.0000, 0.5000), Dy at (0.5000, 0.5000, 0.0000) and Er at (0.0000, 0.5000, 0.5000).

Its total magnetic moment is 0.0 μB/f.u. The calculation puts the final energy at -4.66 eV per atom. The value obtained for the formation energy is 17.4 meV/atom.


Entry 2:
Here is a geometry-optimized Pm3SmDy6Er2 structure from Alexandria via LeMat-Bulk. Energies are from PBE.

It has space group C2/m (No. 12), with a = 6.1862 Å, b = 10.7086 Å, c = 11.8196 Å, α = 90.00°, β = 100.00° and γ = 90.00°. The inequivalent atoms are Pm at (0.0000, 0.0000, 0.0000), Pm at (0.0000, 0.3331, 0.0000), Sm at (0.0000, 0.5000, 0.5000), Dy at (0.2489, 0.0000, 0.7473), Dy at (0.2501, 0.1670, 0.2527) and Er at (0.0000, 0.1668, 0.5000).

Its total magnetic moment is 0.0 μB/f.u. The calculation puts the final energy at -4.63 eV per atom. The value obtained for the formation energy is 16.4 meV/atom.


Entry 3:
Here is a geometry-optimized Pm2SmDy4Er2 structure from Alexandria via LeMat-Bulk. Energies are from PBE.

It has space group P-1 (No. 2), with a = 6.0100 Å, b = 6.6265 Å, c = 8.5871 Å, α = 79.98°, β = 70.43° and γ = 64.87°. The inequivalent atoms are Pm at (0.2303, 0.3270, 0.3428), Sm at (0.5000, 0.0000, 0.0000), Dy at (0.1213, 0.1287, 0.7585), Dy at (0.2373, 0.5794, 0.8845) and Er at (0.3196, 0.7700, 0.4451).

Its total magnetic moment is 0.0 μB/f.u. The calculation puts the final energy at -4.56 eV per atom. The value obtained for the formation energy is 80.6 meV/atom.


Entry 4:
Here is a geometry-optimized PmSmDy4Er2 structure from Alexandria via LeMat-Bulk. Energies are from PBE.

It has space group C2/c (No. 15), with a = 13.5896 Å, b = 13.2476 Å, c = 6.7895 Å, α = 90.00°, β = 119.97° and γ = 90.00°. The inequivalent atoms are Pm at (0.2500, 0.2500, 0.0000), Sm at (0.0000, 0.0000, 0.0000), Dy at (0.9999, 0.2532, 0.0017), Dy at (0.2472, 0.4975, 0.4952), Er at (0.0000, 0.5000, 0.0000) and Er at (0.2500, 0.2500, 0.5000).

Its total magnetic moment is 3.2 μB/f.u. The calculation puts the final energy at -4.19 eV per atom. The value obtained for the formation energy is 431.9 meV/atom.


Entry 5:
Here is a geometry-optimized Pm2Sm6DyEr3 structure from Alexandria via LeMat-Bulk. Energies are from PBE.

It has space group C2/m (No. 12), with a = 6.2320 Å, b = 10.7899 Å, c = 11.8757 Å, α = 90.00°, β = 100.03° and γ = 90.00°. The inequivalent atoms are Pm at (0.0000, 0.1667, 0.0000), Sm at (0.2483, 0.5000, 0.7468), Sm at (0.2493, 0.1663, 0.7469), Dy at (0.0000, 0.5000, 0.0000), Er at (0.0000, 0.0000, 0.5000) and Er at (0.0000, 0.3336, 0.5000).

Its total magnetic moment is 0.0 μB/f.u. The calculation puts the final energy at -4.66 eV per atom. The value obtained for the formation energy is 15.8 meV/atom.


Entry 6:
Here is a geometry-optimized Pm6Sm3DyEr2 structure from Alexandria via LeMat-Bulk. Energies are from PBE.

It has space group C2/m (No. 12), with a = 6.2655 Å, b = 10.8518 Å, c = 11.9253 Å, α = 90.00°, β = 100.07° and γ = 90.00°. The inequivalent atoms are Pm at (0.2492, 0.0000, 0.2469), Pm at (0.2504, 0.1668, 0.7531), Sm at (0.0000, 0.0000, 0.5000), Sm at (0.0000, 0.3333, 0.5000), Dy at (0.0000, 0.5000, 0.0000) and Er at (0.0000, 0.1666, 0.0000).

Its total magnetic moment is 0.0 μB/f.u. The calculation puts the final energy at -4.68 eV per atom. The value obtained for the formation energy is 14.3 meV/atom.


Entry 7:
Here is a geometry-optimized Pm2Sm2DyEr2 structure from Alexandria via LeMat-Bulk. Energies are from PBE.

It has space group R-3m (No. 166, hexagonal axes), with a = 5.7092 Å, b = 5.7092 Å, c = 24.5149 Å, α = 90.00°, β = 90.00° and γ = 120.00°. The inequivalent atoms are Pm at (0.0000, 0.0000, 0.1390), Sm at (0.0000, 0.0000, 0.2831), Dy at (0.0000, 0.0000, 0.0000) and Er at (0.0000, 0.0000, 0.4281).

Its total magnetic moment is 0.0 μB/f.u. The calculation puts the final energy at -4.53 eV per atom. The value obtained for the formation energy is 132.7 meV/atom.


Entry 8:
Here is a geometry-optimized PmSmDy3Er structure from Alexandria via LeMat-Bulk. Energies are from PBE.

It has space group Cmcm (No. 63), with a = 5.8363 Å, b = 11.4291 Å, c = 11.5924 Å, α = 90.00°, β = 90.00° and γ = 90.00°. The inequivalent atoms are Pm at (0.0000, 0.0241, 0.2500), Sm at (0.0000, 0.5000, 0.0000), Dy at (0.0000, 0.1740, 0.5213), Dy at (0.0000, 0.3507, 0.7500) and Er at (0.0000, 0.3300, 0.2500).

Its total magnetic moment is 0.0 μB/f.u. The calculation puts the final energy at -4.51 eV per atom. The value obtained for the formation energy is 126.4 meV/atom.


Entry 9:
Here is a geometry-optimized PmSm3DyEr structure from Alexandria via LeMat-Bulk. Energies are from PBE.

It has space group Cmcm (No. 63), with a = 5.0741 Å, b = 15.2635 Å, c = 10.1887 Å, α = 90.00°, β = 90.00° and γ = 90.00°. The inequivalent atoms are Pm at (0.0000, 0.0010, 0.2500), Sm at (0.0000, 0.1661, 0.0001), Sm at (0.0000, 0.3326, 0.2500), Dy at (0.0000, 0.5000, 0.0000) and Er at (0.0000, 0.3332, 0.7500).

Its total magnetic moment is 0.0 μB/f.u. The calculation puts the final energy at -4.66 eV per atom. The value obtained for the formation energy is 16.9 meV/atom.


Entry 10:
Here is a geometry-optimized PmSm2Dy4Er2 structure from Alexandria via LeMat-Bulk. Energies are from PBE.

It has space group C2/m (No. 12), with a = 18.6519 Å, b = 3.5988 Å, c = 9.5591 Å, α = 90.00°, β = 115.68° and γ = 90.00°. The inequivalent atoms are Pm at (0.0000, 0.0000, 0.0000), Sm at (0.1479, 0.0000, 0.6667), Dy at (0.0189, 0.5000, 0.3329), Dy at (0.1852, 0.0000, 0.3337) and Er at (0.1677, 0.5000, 0.0020).

Its total magnetic moment is 0.0 μB/f.u. The calculation puts the final energy at -4.63 eV per atom. The value obtained for the formation energy is 5.6 meV/atom.


Entry 11:
Here is a geometry-optimized Pm4Sm2Dy2Er structure from Alexandria via LeMat-Bulk. Energies are from PBE.

It has space group C2/m (No. 12), with a = 15.3178 Å, b = 5.1037 Å, c = 8.0442 Å, α = 90.00°, β = 108.55° and γ = 90.00°. The inequivalent atoms are Pm at (0.0550, 0.0000, 0.3310), Pm at (0.2219, 0.5000, 0.3312), Sm at (0.1115, 0.5000, 0.6695), Dy at (0.1665, 0.0000, 0.0000) and Er at (0.0000, 0.5000, 0.0000).

Its total magnetic moment is 0.0 μB/f.u. The calculation puts the final energy at -4.67 eV per atom. The value obtained for the formation energy is 18.4 meV/atom.


Entry 12:
Here is a geometry-optimized PmSm2DyEr structure from Alexandria via LeMat-Bulk. Energies are from PBE.

It has space group Cmcm (No. 63), with a = 8.4197 Å, b = 11.5718 Å, c = 7.2285 Å, α = 90.00°, β = 90.00° and γ = 90.00°. The inequivalent atoms are Pm at (0.0000, 0.2246, 0.2500), Sm at (0.1915, 0.0000, 0.0000), Dy at (0.0000, 0.4909, 0.2500) and Er at (0.0000, 0.2307, 0.7500).

Its total magnetic moment is 0.0 μB/f.u. The calculation puts the final energy at -4.27 eV per atom. The value obtained for the formation energy is 400.9 meV/atom.


Question: Among the records above, which one has the highest total magnetic moment?
Answer: PmSmDy4Er2